The following is a DFT calculation (PBE) of crystalline NaSrSm at its relaxed geometry.

POSCAR file:
```
NaSrSm
1.0
3.827 0.000 0.000
-1.913 3.314 0.000
0.000 0.000 9.598
Na Sr Sm
1 1 1
Direct
0.000 0.000 0.000
0.667 0.333 0.352
0.333 0.667 0.682
```

Computed properties:
Formation energy (eV/f.u.): 0.60
Total energy (Ry per atom): -0.174
Fermi-level density of states (states/eV per atom): 1.15